A geometry-optimized CaNdZnPt structure, computed with PBE-GGA.

## Properties
total magnetization: 0.000 μB/atom
energy of formation from the pure elements: -68.0 kJ per mole of atoms
crystal system: orthorhombic
Fermi-level density of states: 2.22 states/eV/f.u.
VASP energy: -4.2263 eV/atom
symmetry: Amm2 (38)

a b c (Å): 4.093 4.248 6.078
angles (deg): 90.00 109.68 90.00
Sites, in units of the cell vectors:
Ca  0.145  0.000  0.290
Zn  0.571  0.500  0.142
Pt  0.423  0.000  0.847
Nd  0.861  0.500  0.721